# 1
Computed, not measured: a geometry-optimized KCaInCl4 structure at the GGA-PBE level of DFT.

## Properties
energy relative to the elements, uncorrected: -1794 meV per atom

a = 8.867 Å, b = 8.867 Å, c = 8.867 Å
α = 144.80°, β = 144.80°, γ = 50.63°
Sites, in units of the cell vectors:
K 0.000 0.000 0.000
Ca 0.361 0.361 0.000
In 0.710 0.710 0.000
Cl 0.193 0.193 0.000
Cl 0.374 0.874 0.500
Cl 0.537 0.537 0.000
Cl 0.874 0.374 0.500

=====

# 2
Computed, not measured: a geometry-optimized Na2MoCl6 structure at the GGA-PBE level of DFT.

## Properties
energy relative to the elements, uncorrected: -1258 meV per atom
offset from the most stable computed form: 0.018 eV per atom

a = 6.330 Å, b = 6.330 Å, c = 12.046 Å
α = 90.00°, β = 90.00°, γ = 90.00°
Sites, in units of the cell vectors:
Na 0.000 0.000 0.168
Na 0.000 0.000 0.832
Na 0.500 0.500 0.332
Na 0.500 0.500 0.668
Mo 0.000 0.000 0.500
Mo 0.500 0.500 0.000
Cl 0.187 0.187 0.356
Cl 0.187 0.187 0.644
Cl 0.233 0.233 0.000
Cl 0.267 0.733 0.500
Cl 0.313 0.687 0.144
Cl 0.313 0.687 0.856
Cl 0.687 0.313 0.144
Cl 0.687 0.313 0.856
Cl 0.733 0.267 0.500
Cl 0.767 0.767 0.000
Cl 0.813 0.813 0.356
Cl 0.813 0.813 0.644

=====

# 3
Computed, not measured: a geometry-optimized CaPd3W structure at the GGA-PBE level of DFT.

## Properties
ΔE_f: 0.449 eV per atom
offset from the most stable computed form: 0.000 eV per atom

a = 4.886 Å, b = 4.886 Å, c = 4.886 Å
α = 90.00°, β = 90.00°, γ = 90.00°
Sites, in units of the cell vectors:
Ca 0.000 0.000 0.000
Pd 0.000 0.500 0.500
Pd 0.500 0.000 0.500
Pd 0.500 0.500 0.000
W 0.500 0.500 0.500

=====

# 4
Computed, not measured: a geometry-optimized Pr4SmSc structure at the GGA-PBE level of DFT.

## Properties
ΔE_f: 0.038 eV per atom
offset from the most stable computed form: 0.000 eV per atom

a = 6.270 Å, b = 6.270 Å, c = 6.271 Å
α = 99.55°, β = 99.55°, γ = 119.83°
Sites, in units of the cell vectors:
Pr 0.162 0.838 0.000
Pr 0.333 0.667 0.500
Pr 0.667 0.333 0.500
Pr 0.838 0.162 0.000
Sm 0.500 0.500 0.000
Sc 0.000 0.000 0.500

=====

Magnetic moment
In order: 0.00, 4.00, 0.00, 0.00
Unit: μB/cell
DFT total energy
In order: -25.780, -35.873, -28.288, -29.941
Unit: eV/f.u.